[1]
Cs3NaO8 | PBE | optimized geometry

Cell lengths 8.7646, 11.1503, 7.0844 Å; angles 90.00, 128.08, 90.00 degrees
Last column: nearest neighbours and their distance in Å.
Space group Cm (No. 8)
Symmetry-distinct sites (fractional):
Cs: 0.0000 0.0000 0.0000 x2  8 O 3.12-3.15
Cs: 0.9998 0.2502 0.4996 x4  8 O 3.06-3.19
Na: 0.4993 0.0000 0.9987 x2  8 O 2.35-2.63
O: 0.0773 0.2731 0.0005 x4  1 O 1.36
O: 0.1495 0.5000 0.4540 x2  1 O 1.36
O: 0.1602 0.0000 0.7074 x2  1 O 1.36
O: 0.1932 0.3535 0.0001 x4  1 O 1.36
O: 0.1969 0.0000 0.5470 x2  1 O 1.36
O: 0.4532 0.0000 0.2925 x2  1 O 1.36

Summary:
volume: 22.707 A^3/atom
density of states at the Fermi level: 34.9 states/eV/cell
formation energy (no corrections): -802 meV/atom



[2]
Cs3Na12O5 | PBE | optimized geometry

Cell lengths 16.7625, 16.7625, 16.7625 Å; angles 90.00, 90.00, 90.00 degrees
Last column: nearest neighbours and their distance in Å.
Space group Ia-3d (No. 230)
Symmetry-distinct sites (fractional):
Cs: 0.0000 0.2500 0.1250 x24  8 Na 3.68-3.97
Na: 0.0214 0.1353 0.9392 x96  1 O 2.23
O: 0.0000 0.0000 0.0000 x16  6 Na 2.51
O: 0.0000 0.2500 0.3750 x24  4 Na 2.23

Summary:
volume: 29.437 A^3/atom
density of states at the Fermi level: 55.1 states/eV/cell
formation energy (no corrections): -615 meV/atom



[3]
CsNaO3 | PBE | optimized geometry

Cell lengths 4.3495, 4.3495, 4.3495 Å; angles 90.00, 90.00, 90.00 degrees
Last column: nearest neighbours and their distance in Å.
Space group Pm-3m (No. 221)
Symmetry-distinct sites (fractional):
Cs: 0.0000 0.0000 0.0000 x1  6 O 2.17
Na: 0.5000 0.5000 0.5000 x1  12 O 3.08
O: 0.0000 0.0000 0.5000 x3  2 Cs 2.17

Summary:
volume: 16.457 A^3/atom
density of states at the Fermi level: 1.3 states/eV/cell
formation energy (no corrections): 167 meV/atom



[4]
CsNaO2 | PBE | optimized geometry

Cell lengths 6.3722, 6.5157, 8.1852 Å; angles 90.00, 100.06, 90.00 degrees
Last column: nearest neighbours and their distance in Å.
Space group Cc (No. 9)
Symmetry-distinct sites (fractional):
Cs: 0.0000 0.0439 0.0000 x4  5 O 2.89-3.17
Na: 0.0203 0.4483 0.7144 x4  4 O 2.27-2.36
O: 0.2962 0.2041 0.7832 x4  1 O 1.53
O: 0.4313 0.1111 0.9376 x4  1 O 1.53

Summary:
volume: 20.914 A^3/atom
density of states at the Fermi level: 0.0 states/eV/cell
formation energy (no corrections): -957 meV/atom



[5]
Cs3NaO | PBE | optimized geometry

Cell lengths 6.1810, 6.1810, 6.1810 Å; angles 90.00, 90.00, 90.00 degrees
Last column: nearest neighbours and their distance in Å.
Space group Pm-3m (No. 221)
Symmetry-distinct sites (fractional):
Cs: 0.0000 0.0000 0.5000 x3  2 O 3.09
Na: 0.5000 0.5000 0.5000 x1  12 Cs 4.37
O: 0.0000 0.0000 0.0000 x1  6 Cs 3.09

Summary:
volume: 47.229 A^3/atom
offset from the most stable computed form: 8.8 kJ per mole of atoms
density of states at the Fermi level: 1.7 states/eV/cell
formation energy (no corrections): -498 meV/atom



[6]
CsNaO3 | PBE | optimized geometry

Cell lengths 4.3401, 4.3401, 4.3401 Å; angles 90.00, 90.00, 90.00 degrees
Last column: nearest neighbours and their distance in Å.
Space group Pm-3m (No. 221)
Symmetry-distinct sites (fractional):
Cs: 0.0000 0.0000 0.0000 x1  12 O 3.07
Na: 0.5000 0.5000 0.5000 x1  6 O 2.17
O: 0.0000 0.5000 0.5000 x3  2 Na 2.17

Summary:
volume: 16.350 A^3/atom
density of states at the Fermi level: 6.4 states/eV/cell
formation energy (no corrections): -14 meV/atom



[7]
Cs2NaO | PBE | optimized geometry

Cell lengths 8.1488, 8.1488, 8.1488 Å; angles 90.00, 90.00, 90.00 degrees
Last column: nearest neighbours and their distance in Å.
Space group Fm-3m (No. 225)
Symmetry-distinct sites (fractional):
Cs: 0.2500 0.2500 0.2500 x8  4 O 3.53, 4 Na 3.53
Na: 0.0000 0.0000 0.0000 x4  8 Cs 3.53
O: 0.0000 0.0000 0.5000 x4  8 Cs 3.53

Summary:
volume: 33.819 A^3/atom
offset from the most stable computed form: 52.6 kJ per mole of atoms
density of states at the Fermi level: 7.4 states/eV/cell
formation energy (no corrections): -138 meV/atom



[8]
Cs8NaO2 | PBE | optimized geometry

Cell lengths 14.6265, 24.7959, 4.3230 Å; angles 90.00, 94.69, 90.00 degrees
Last column: nearest neighbours and their distance in Å.
Space group C2/m (No. 12)
Symmetry-distinct sites (fractional):
Cs: 0.0000 0.1959 0.0000 x4  2 O 2.88
Cs: 0.1277 0.3292 0.2526 x8  1 O 2.63
Cs: 0.1901 0.0000 0.3192 x4  2 Cs 4.32
Na: 0.0000 0.5000 0.0000 x2  2 Na 4.32, 4 Cs 4.72
O: 0.0000 0.2729 0.5000 x4  4 Cs 2.63-2.88

Summary:
volume: 71.029 A^3/atom
density of states at the Fermi level: 14.2 states/eV/cell
formation energy (no corrections): -500 meV/atom



[9]
CsNaO2 | PBE | optimized geometry

Cell lengths 3.6885, 3.6885, 19.5923 Å; angles 90.00, 90.00, 120.00 degrees
Last column: nearest neighbours and their distance in Å.
Space group R-3m (No. 166, hexagonal axes)
Symmetry-distinct sites (fractional):
Cs: 0.0000 0.0000 0.0000 x3  2 O 2.04
Na: 0.0000 0.0000 0.5000 x3  6 O 2.46
O: 0.0000 0.0000 0.1041 x6  1 Cs 2.04

Summary:
volume: 19.237 A^3/atom
density of states at the Fermi level: 0.0 states/eV/cell
formation energy (no corrections): -492 meV/atom



[10]
Cs3NaO | PBE | optimized geometry

Cell lengths 4.4830, 13.4022, 9.6031 Å; angles 90.00, 103.47, 90.00 degrees
Last column: nearest neighbours and their distance in Å.
Space group P2_1/m (No. 11)
Symmetry-distinct sites (fractional):
Cs: 0.0191 0.2500 0.0366 x2  1 O 2.84
Cs: 0.3606 0.1000 0.7200 x4  2 O 3.01
Na: 0.2547 0.7500 0.5119 x2  1 O 2.28
O: 0.1331 0.7500 0.2674 x2  1 Na 2.28

Summary:
volume: 56.109 A^3/atom
offset from the most stable computed form: 0.0 kJ per mole of atoms
density of states at the Fermi level: 5.2 states/eV/cell
formation energy (no corrections): -589 meV/atom



[11]
CsNaO | PBE | optimized geometry

Cell lengths 6.8043, 3.9997, 6.9183 Å; angles 90.00, 110.68, 90.00 degrees
Last column: nearest neighbours and their distance in Å.
Space group P2_1/m (No. 11)
Symmetry-distinct sites (fractional):
Cs: 0.1657 0.2500 0.2541 x2  3 O 2.81-2.94
Na: 0.3677 0.2500 0.8894 x2  3 O 2.31-2.35
O: 0.2640 0.7500 0.9906 x2  3 Na 2.31-2.35

Summary:
volume: 29.357 A^3/atom
formation energy (no corrections): -1041 meV/atom



[12]
CsNaO | PBE | optimized geometry

Cell lengths 3.9652, 3.9652, 5.5487 Å; angles 90.00, 90.00, 120.00 degrees
Last column: nearest neighbours and their distance in Å.
Space group P3m1 (No. 156)
Symmetry-distinct sites (fractional):
Cs: 0.0000 0.0000 0.0000 x1  3 O 2.87
Na: 0.6667 0.3333 0.4305 x1  3 O 2.38
O: 0.3333 0.6667 0.3115 x1  3 Na 2.38

Summary:
volume: 25.185 A^3/atom
formation energy (no corrections): -999 meV/atom



[13]
Cs2NaO | PBE | optimized geometry

Cell lengths 12.3516, 12.3516, 4.5230 Å; angles 90.00, 90.00, 90.00 degrees
Last column: nearest neighbours and their distance in Å.
Space group I-42d (No. 122)
Symmetry-distinct sites (fractional):
Cs: 0.0219 0.2500 0.1250 x8  2 O 3.15
Na: 0.0000 0.0000 0.5000 x4  2 O 2.26
O: 0.0000 0.0000 0.0000 x4  2 Na 2.26

Summary:
volume: 43.128 A^3/atom
offset from the most stable computed form: 0.0 kJ per mole of atoms
density of states at the Fermi level: 8.4 states/eV/cell
formation energy (no corrections): -683 meV/atom



[14]
Cs6NaO | PBE | optimized geometry

Cell lengths 4.6004, 8.6469, 30.4183 Å; angles 90.00, 90.00, 90.00 degrees
Last column: nearest neighbours and their distance in Å.
Space group Amm2 (No. 38)
Symmetry-distinct sites (fractional):
Cs: 0.0000 0.0000 0.0000 x2  2 Na 4.52, 4 Cs 4.60-4.97
Cs: 0.0000 0.0000 0.4196 x2  4 Cs 4.60-4.97, 4 Na 5.11
Cs: 0.0000 0.2066 0.2602 x4  2 O 3.19, 1 Cs 3.57
Cs: 0.5000 0.2219 0.1513 x4  1 O 2.78
Na: 0.5000 0.0000 0.8721 x2  6 Cs 4.52-4.83, 2 Na 4.60
O: 0.5000 0.0000 0.2174 x2  2 Cs 2.78

Summary:
volume: 75.626 A^3/atom
density of states at the Fermi level: 10.2 states/eV/cell
formation energy (no corrections): -292 meV/atom



[15]
Cs6Na2O | PBE | optimized geometry

Cell lengths 16.5532, 9.3894, 9.3933 Å; angles 90.00, 124.52, 90.00 degrees
Last column: nearest neighbours and their distance in Å.
Space group C2/m (No. 12)
Symmetry-distinct sites (fractional):
Cs: 0.0000 0.2216 0.2216 x8  1 O 2.94
Cs: 0.2169 0.0000 0.2170 x4  1 O 2.96
Na: 0.2500 0.0000 0.7504 x4  12 Cs 4.72-4.78
O: 0.0000 0.0000 0.0000 x2  6 Cs 2.94-2.96

Summary:
volume: 66.825 A^3/atom
density of states at the Fermi level: 10.7 states/eV/cell
formation energy (no corrections): -353 meV/atom



[16]
Cs3Na5O2 | PBE | optimized geometry

Cell lengths 12.0006, 16.8419, 7.6166 Å; angles 90.00, 90.00, 90.00 degrees
Last column: nearest neighbours and their distance in Å.
Space group Ibam (No. 72)
Symmetry-distinct sites (fractional):
Cs: 0.0000 0.0000 0.2500 x4  2 Na 3.22, 4 O 3.31
Cs: 0.1830 0.3098 0.0000 x8  1 O 2.96
Na: 0.0000 0.1910 0.2500 x8  2 O 2.26
Na: 0.0000 0.5000 0.2500 x4  6 Na 3.81-3.86
Na: 0.2472 0.4066 0.5000 x8  1 O 2.25
O: 0.0823 0.1495 0.0000 x8  3 Na 2.25-2.26

Summary:
volume: 38.485 A^3/atom
density of states at the Fermi level: 9.8 states/eV/cell
formation energy (no corrections): -573 meV/atom



[17]
CsNaO2 | PBE | optimized geometry

Cell lengths 5.6083, 5.6083, 13.0166 Å; angles 90.00, 90.00, 90.00 degrees
Last column: nearest neighbours and their distance in Å.
Space group I-42d (No. 122)
Symmetry-distinct sites (fractional):
Cs: 0.0000 0.0000 0.0000 x4  4 O 2.87
Na: 0.0000 0.0000 0.5000 x4  4 O 2.33
O: 0.1617 0.2500 0.6250 x8  2 Na 2.33

Summary:
volume: 25.588 A^3/atom
density of states at the Fermi level: 0.6 states/eV/cell
formation energy (no corrections): -570 meV/atom



[18]
CsNaO3 | PBE | optimized geometry

Cell lengths 7.4689, 7.5703, 6.6017 Å; angles 90.00, 90.00, 90.00 degrees
Last column: nearest neighbours and their distance in Å.
Space group Pnma (No. 62)
Symmetry-distinct sites (fractional):
Cs: 0.0545 0.2500 0.0451 x4  8 O 2.84-3.18
Na: 0.0000 0.0000 0.5000 x4  4 O 2.35-2.46
O: 0.1938 0.2500 0.5902 x4  2 O 1.49
O: 0.2434 0.0865 0.7018 x8  1 O 1.49

Summary:
volume: 18.664 A^3/atom
density of states at the Fermi level: 0.0 states/eV/cell
formation energy (no corrections): -776 meV/atom



[19]
CsNa2O | PBE | optimized geometry

Cell lengths 7.3869, 7.3869, 10.4196 Å; angles 90.00, 90.00, 90.00 degrees
Last column: nearest neighbours and their distance in Å.
Space group I4_1/amd (No. 141, origin choice 2)
Symmetry-distinct sites (fractional):
Cs: 0.0000 0.2500 0.3750 x4  12 Na 4.32-4.33, 4 O 4.52, 4 Cs 4.52
Na: 0.0000 0.0000 0.0000 x8  2 O 2.26
O: 0.0000 0.2500 0.8750 x4  4 Na 2.26

Summary:
volume: 35.535 A^3/atom
density of states at the Fermi level: 1.2 states/eV/cell
formation energy (no corrections): -686 meV/atom



[20]
Cs2NaOsO6 | PBE | optimized geometry

Cell lengths 6.5473, 6.5473, 5.9216 Å; angles 90.00, 90.00, 120.00 degrees
Last column: nearest neighbours and their distance in Å.
Space group P-3m1 (No. 164)
Symmetry-distinct sites (fractional):
Cs: 0.3333 0.6667 0.1879 x2  9 O 3.16-3.29
Na: 0.0000 0.0000 0.5000 x1  6 O 2.41
Os: 0.0000 0.0000 0.0000 x1  6 O 1.87
O: 0.1340 0.2680 0.8156 x6  1 Os 1.87

Summary:
volume: 21.983 A^3/atom
density of states at the Fermi level: 8.9 states/eV/cell
formation energy (no corrections): -1188 meV/atom